[1]
Np3PSe2 | PBE-GGA | optimized geometry

Cell: 7.0392 7.0392 7.0392 Å, 146.50 131.91 59.88°
Fractional coordinates of all 6 atoms:
Np1 0.0000 0.0000 0.0000
Np2 0.3424 0.3424 0.0000
Np3 0.6576 0.6576 0.0000
P1 0.5000 0.0000 0.5000
Se1 0.1701 0.6701 0.5000
Se2 0.8299 0.3299 0.5000

Energy relative to the elements, uncorrected (eV per atom): -1.0184


[2]
Np6P5Se | PBE-GGA | optimized geometry

Cell: 6.9162 6.9162 6.9077 Å, 99.61 99.61 120.06°
Fractional coordinates of all 12 atoms:
Np1 0.0741 0.4148 0.7447
Np2 0.2433 0.2433 0.2526
Np3 0.4148 0.0741 0.7447
Np4 0.5852 0.9259 0.2553
Np5 0.7567 0.7567 0.7474
Np6 0.9259 0.5852 0.2553
P1 0.0000 0.0000 0.5000
P2 0.1674 0.8326 0.0000
P3 0.3375 0.6625 0.5000
P4 0.6625 0.3375 0.5000
P5 0.8326 0.1674 0.0000
Se1 0.5000 0.5000 0.0000

Energy relative to the elements, uncorrected (eV per atom): -0.9130


[3]
Np6PSe12 | PBE-GGA | optimized geometry

Cell: 8.1083 8.1083 8.1083 Å, 99.80 99.80 99.80°
Fractional coordinates of all 19 atoms:
Np1 0.1260 0.8003 0.6321
Np2 0.1997 0.3679 0.8740
Np3 0.3679 0.8740 0.1997
Np4 0.6321 0.1260 0.8003
Np5 0.8003 0.6321 0.1260
Np6 0.8740 0.1997 0.3679
P1 0.5000 0.5000 0.5000
Se1 0.0702 0.9239 0.3223
Se2 0.0761 0.6777 0.9298
Se3 0.1879 0.4453 0.5368
Se4 0.3223 0.0702 0.9239
Se5 0.4453 0.5368 0.1879
Se6 0.4632 0.8121 0.5547
Se7 0.5368 0.1879 0.4453
Se8 0.5547 0.4632 0.8121
Se9 0.6777 0.9298 0.0761
Se10 0.8121 0.5547 0.4632
Se11 0.9239 0.3223 0.0702
Se12 0.9298 0.0761 0.6777

Energy relative to the elements, uncorrected (eV per atom): -0.9430


Question: Look up the energy relative to the elements, uncorrected of the third one.
Answer: -0.9430 eV per atom